Zr2Zn16Pd after structural relaxation, computed with PBE.

Output
Formation enthalpy at 0 K: -192 meV per atom
Volume: 15.28 Å³ per atom

Lattice parameters (Å, degrees): 6.674 6.674 6.674 82.55 82.55 82.55
Positions (direct):
Zr 0.000 0.000 0.000
Zr 0.329 0.329 0.329
Zn 0.022 0.022 0.497
Zn 0.022 0.497 0.022
Zn 0.165 0.663 0.663
Zn 0.309 0.309 0.819
Zn 0.309 0.819 0.309
Zn 0.365 0.662 0.961
Zn 0.365 0.961 0.662
Zn 0.497 0.022 0.022
Zn 0.662 0.365 0.961
Zn 0.662 0.961 0.365
Zn 0.663 0.165 0.663
Zn 0.663 0.663 0.165
Zn 0.770 0.770 0.770
Zn 0.819 0.309 0.309
Zn 0.961 0.365 0.662
Zn 0.961 0.662 0.365
Pd 0.565 0.565 0.565



La8Ge4Cl3 after structural relaxation, computed with PBE.

Output
Volume: 30.31 Å³ per atom
Formation energy (no corrections): -1.158 eV/atom

Lattice parameters (Å, degrees): 8.625 8.625 8.562 119.57 119.57 90.43
Positions (direct):
La 0.245 0.755 0.000
La 0.246 0.246 0.495
La 0.251 0.251 0.013
La 0.254 0.746 0.500
La 0.746 0.254 0.500
La 0.749 0.749 0.987
La 0.754 0.754 0.505
La 0.755 0.245 0.000
Ge 0.000 0.000 0.000
Ge 0.000 0.500 0.500
Ge 0.500 0.000 0.500
Ge 0.500 0.500 0.500
Cl 0.000 0.500 0.000
Cl 0.500 0.000 0.000
Cl 0.500 0.500 0.000



Tl2ZnCu after structural relaxation, computed with PBE.

Output
Formation enthalpy at 0 K: 279 meV per atom
Volume: 22.36 Å³ per atom
Energy above the lowest structure with this stoichiometry: 0.139 eV per atom

Lattice parameters (Å, degrees): 4.712 4.742 8.004 90.00 90.00 90.00
Positions (direct):
Tl 0.000 0.000 0.228
Tl 0.000 0.000 0.772
Tl 0.500 0.500 0.228
Tl 0.500 0.500 0.772
Zn 0.000 0.500 0.500
Zn 0.500 0.000 0.500
Cu 0.000 0.500 0.000
Cu 0.500 0.000 0.000



NdSm4Mg after structural relaxation, computed with PBE.

Output
Formation enthalpy at 0 K: -21 meV per atom
Volume: 32.38 Å³ per atom
Energy above the lowest structure with this stoichiometry: 0.000 eV per atom

Lattice parameters (Å, degrees): 3.656 3.656 14.534 90.00 90.00 90.00
Positions (direct):
Nd 0.000 0.000 0.000
Sm 0.000 0.000 0.351
Sm 0.000 0.000 0.649
Sm 0.500 0.500 0.178
Sm 0.500 0.500 0.822
Mg 0.500 0.500 0.500



Cs3LaSb2O6 after structural relaxation, computed with PBE.

Output
Volume: 24.33 Å³ per atom
Formation energy (no corrections): -1.963 eV/atom

Lattice parameters (Å, degrees): 6.473 6.473 8.045 90.00 90.00 120.00
Positions (direct):
Cs 0.000 0.000 0.000
Cs 0.333 0.667 0.668
Cs 0.667 0.333 0.332
La 0.000 0.000 0.500
Sb 0.333 0.667 0.212
Sb 0.667 0.333 0.788
O 0.177 0.354 0.324
O 0.177 0.823 0.324
O 0.354 0.177 0.676
O 0.646 0.823 0.324
O 0.823 0.177 0.676
O 0.823 0.646 0.676



GdEr2Sb after structural relaxation, computed with PBE.

Output
Volume: 27.23 Å³ per atom
Formation energy (no corrections): -0.481 eV/atom
Energy above the lowest structure with this stoichiometry: 0.000 eV per atom

Lattice parameters (Å, degrees): 4.812 4.812 4.705 90.00 90.00 90.00
Positions (direct):
Gd 0.000 0.000 0.000
Er 0.000 0.500 0.500
Er 0.500 0.000 0.500
Sb 0.500 0.500 0.000